Below is an optimized crystal structure of Li2CuPd, with properties calculated at the PBE-GGA level.

## Properties
As for the total energy: -53.4 eV per cell. The value obtained for the total magnetic moment is 0.000 μB/atom. As for the formation energy: -61 meV/atom.

a b c (Å): 6.7155 6.7155 5.0877
angles (deg): 90.00 90.00 90.00
Space group I-42d (No. 122)
Symmetry-distinct sites (fractional):
Li  0.2433  0.2500  0.1250 x8
Cu  0.0000  0.0000  0.0000 x4
Pd  0.0000  0.0000  0.5000 x4